KMgCo2 | PBE | relaxed

Summary:
Symmetry   I-4m2
Magnetization   0.743 μB per atom
E_tot   -12.8 eV/cell

POSCAR file:
```
KMgCo2
1.0
-2.363 2.363 3.304
2.363 -2.363 3.304
2.363 2.363 -3.304
K Mg Co
1 1 2
direct
0.000 0.000 0.000
0.250 0.750 0.500
0.500 0.500 0.000
0.750 0.250 0.500
```

KMg2Co | PBE | relaxed

Summary:
Symmetry   I4_1/amd
Magnetization   0.280 μB per atom
Relative energy among the computed polymorphs   1.558 eV per formula unit

POSCAR file:
```
KMg2Co
1.0
-2.933 2.933 8.299
2.933 -2.933 8.299
2.933 2.933 -8.299
K Mg Co
2 4 2
direct
0.375 0.625 0.750
0.625 0.375 0.250
0.000 0.000 0.000
0.000 0.000 0.500
0.000 0.500 0.000
0.500 0.000 0.500
0.125 0.875 0.250
0.875 0.125 0.750
```

KMg2Co | PBE | relaxed

Summary:
Symmetry   I-4m2
Magnetization   0.360 μB per atom
Relative energy among the computed polymorphs   1.694 eV per formula unit

POSCAR file:
```
KMg2Co
1.0
-2.411 2.411 4.190
2.411 -2.411 4.190
2.411 2.411 -4.190
K Mg Co
1 2 1
direct
0.000 0.000 0.000
0.250 0.750 0.500
0.500 0.500 0.000
0.750 0.250 0.500
```

KMgCo2 | PBE | relaxed

Summary:
Symmetry   P4/mmm
Magnetization   0.782 μB per atom
E_tot   -12.8 eV/cell

POSCAR file:
```
KMgCo2
1.0
5.308 0.000 0.000
0.000 5.308 0.000
0.000 0.000 2.726
K Mg Co
1 1 2
direct
0.000 0.000 0.000
0.500 0.500 0.000
0.000 0.500 0.500
0.500 0.000 0.500
```

KMgCo2 | PBE | relaxed

Summary:
Symmetry   I4/mmm
Magnetization   0.726 μB per atom
E_tot   -12.5 eV/cell

POSCAR file:
```
KMgCo2
1.0
-2.050 2.050 4.443
2.050 -2.050 4.443
2.050 2.050 -4.443
K Mg Co
1 1 2
direct
0.000 0.000 0.000
0.500 0.500 0.000
0.250 0.750 0.500
0.750 0.250 0.500
```

KMgCo2 | PBE | relaxed

Summary:
Symmetry   Pmmm
Magnetization   0.757 μB per atom
E_tot   -12.6 eV/cell

POSCAR file:
```
KMgCo2
1.0
2.865 0.000 0.000
0.000 4.980 0.000
0.000 0.000 5.076
K Mg Co
1 1 2
direct
0.000 0.000 0.000
0.500 0.000 0.500
0.000 0.500 0.500
0.500 0.500 0.000
```

KMgCo2 | PBE | relaxed

Summary:
Symmetry   Cmmm
Magnetization   0.670 μB per atom
E_tot   -13.8 eV/cell

POSCAR file:
```
KMgCo2
1.0
1.966 -1.977 0.000
1.966 1.977 0.000
0.000 0.000 9.221
K Mg Co
1 1 2
direct
0.000 0.000 0.000
0.000 0.000 0.500
0.500 0.500 0.295
0.500 0.500 0.705
```

KMg14Co | PBE | relaxed

Summary:
Symmetry   Amm2
Magnetization   0.067 μB per atom
Relative energy among the computed polymorphs   0.092 eV per formula unit

POSCAR file:
```
KMg14Co
1.0
10.421 0.000 0.000
0.000 3.172 5.642
0.000 -3.172 5.642
K Mg Co
1 14 1
direct
0.000 0.000 0.000
0.000 0.012 0.491
0.000 0.491 0.012
0.211 0.624 0.624
0.249 0.146 0.629
0.249 0.629 0.146
0.268 0.144 0.144
0.500 0.474 0.474
0.500 0.481 0.967
0.500 0.967 0.481
0.500 0.971 0.971
0.732 0.144 0.144
0.751 0.146 0.629
0.751 0.629 0.146
0.789 0.624 0.624
0.000 0.449 0.449
```

KMg2Co | PBE | relaxed

Summary:
Symmetry   C2/m
Magnetization   0.228 μB per atom
Relative energy among the computed polymorphs   0.591 eV per formula unit

POSCAR file:
```
KMg2Co
1.0
4.109 -1.523 0.000
4.109 1.523 0.000
-0.724 0.000 8.252
K Mg Co
1 2 1
direct
0.000 0.000 0.000
0.226 0.226 0.652
0.774 0.774 0.348
0.500 0.500 0.500
```

KMg2Co | PBE | relaxed

Summary:
Symmetry   Imm2
Magnetization   0.143 μB per atom
Relative energy among the computed polymorphs   0.301 eV per formula unit

POSCAR file:
```
KMg2Co
1.0
-1.510 2.167 8.170
1.510 -2.167 8.170
1.510 2.167 -8.170
K Mg Co
1 2 1
direct
0.000 0.000 0.000
0.320 0.820 0.500
0.684 0.684 0.000
0.813 0.313 0.500
```

KMg2Co | PBE | relaxed

Summary:
Symmetry   Cmmm
Magnetization   0.321 μB per atom
Relative energy among the computed polymorphs   1.776 eV per formula unit

POSCAR file:
```
KMg2Co
1.0
3.399 -4.327 0.000
3.399 4.327 0.000
0.000 0.000 3.101
K Mg Co
1 2 1
direct
0.000 0.000 0.000
0.000 0.500 0.500
0.500 0.000 0.500
0.500 0.500 0.000
```

KMg2Co | PBE | relaxed

Summary:
Symmetry   P2/m
Magnetization   0.000 μB per atom
Relative energy among the computed polymorphs   0.000 eV per formula unit

POSCAR file:
```
KMg2Co
1.0
3.230 0.000 0.000
0.000 3.233 0.000
-0.041 0.000 9.195
K Mg Co
1 2 1
direct
0.000 0.000 0.000
0.498 0.500 0.348
0.502 0.500 0.652
0.000 0.000 0.500
```

KMg6Co | PBE | relaxed

Summary:
Symmetry   Amm2
Magnetization   0.089 μB per atom
E_tot   -15.4 eV/cell

POSCAR file:
```
KMg6Co
1.0
4.622 0.000 0.000
0.000 3.036 7.461
0.000 -3.036 7.461
K Mg Co
1 6 1
direct
0.000 0.000 0.000
0.000 0.416 0.416
0.000 0.440 0.965
0.000 0.965 0.440
0.500 0.074 0.575
0.500 0.575 0.074
0.500 0.608 0.608
0.500 0.183 0.183
```

KMgCo2 | PBE | relaxed

Summary:
Symmetry   P2/m
Magnetization   0.724 μB per atom
E_tot   -14.5 eV/cell

POSCAR file:
```
KMgCo2
1.0
2.782 0.000 0.000
0.000 4.186 0.000
-0.205 0.000 7.203
K Mg Co
1 1 2
direct
0.000 0.000 0.000
0.000 0.000 0.500
0.491 0.500 0.350
0.509 0.500 0.650
```

KMgCo2 | PBE | relaxed

Summary:
Symmetry   C2/m
Magnetization   0.846 μB per atom
E_tot   -14.6 eV/cell

POSCAR file:
```
KMgCo2
1.0
4.655 -1.549 0.000
4.655 1.549 0.000
-1.061 0.000 6.699
K Mg Co
1 1 2
direct
0.000 0.000 0.000
0.500 0.500 0.500
0.239 0.239 0.612
0.761 0.761 0.388
```

KMg2Co | PBE | relaxed

Summary:
Symmetry   Pmmm
Magnetization   0.365 μB per atom
Relative energy among the computed polymorphs   1.785 eV per formula unit

POSCAR file:
```
KMg2Co
1.0
3.073 0.000 0.000
0.000 5.550 0.000
0.000 0.000 5.573
K Mg Co
1 2 1
direct
0.000 0.000 0.000
0.000 0.500 0.500
0.500 0.000 0.500
0.500 0.500 0.000
```

KMgCo4 | PBE | relaxed

Summary:
Symmetry   F-43m
Magnetization   1.045 μB per atom
E_tot   -27.8 eV/cell

POSCAR file:
```
KMgCo4
1.0
0.000 3.587 3.587
3.587 0.000 3.587
3.587 3.587 0.000
K Mg Co
1 1 4
direct
0.000 0.000 0.000
0.750 0.750 0.750
0.376 0.376 0.376
0.376 0.376 0.871
0.376 0.871 0.376
0.871 0.376 0.376
```

KMg2Co | PBE | relaxed

Summary:
Symmetry   P4/mmm
Magnetization   0.304 μB per atom
Relative energy among the computed polymorphs   1.792 eV per formula unit

POSCAR file:
```
KMg2Co
1.0
5.345 0.000 0.000
0.000 5.345 0.000
0.000 0.000 3.145
K Mg Co
1 2 1
direct
0.000 0.000 0.000
0.000 0.500 0.500
0.500 0.000 0.500
0.500 0.500 0.000
```

KMgCo2 | PBE | relaxed

Summary:
Symmetry   Pm
Magnetization   0.823 μB per atom
E_tot   -15.2 eV/cell

POSCAR file:
```
KMgCo2
1.0
3.096 0.000 0.000
0.000 3.096 0.000
-0.023 0.000 8.583
K Mg Co
1 1 2
direct
0.000 0.000 0.000
0.506 0.500 0.610
0.003 0.000 0.407
0.502 0.500 0.300
```

KMg2Co | PBE | relaxed

Summary:
Symmetry   F-43m
Magnetization   0.305 μB per atom
Relative energy among the computed polymorphs   1.740 eV per formula unit

POSCAR file:
```
KMg2Co
1.0
0.000 3.638 3.638
3.638 0.000 3.638
3.638 3.638 0.000
K Mg Co
1 2 1
direct
0.000 0.000 0.000
0.250 0.250 0.250
0.500 0.500 0.500
0.750 0.750 0.750
```

KMg2Co | PBE | relaxed

Summary:
Symmetry   C2/m
Magnetization   0.406 μB per atom
Relative energy among the computed polymorphs   1.709 eV per formula unit

POSCAR file:
```
KMg2Co
1.0
3.218 -5.415 0.000
3.218 5.415 0.000
-1.199 0.000 2.727
K Mg Co
1 2 1
direct
0.000 0.000 0.000
0.000 0.500 0.500
0.500 0.000 0.500
0.500 0.500 0.000
```

Listing D(E_F) for the structures above in their given order: 4.640 4.137 3.884 4.530 4.669 5.000 4.019 9.920 3.635 3.695 2.524 2.808 5.583 3.479 3.768 4.417 6.346 2.907 3.357 9.964 3.708 states/eV/f.u..